Model i:
Material: VSbMo
Method: DFT, GGA-PBE
State: optimized geometry

Cell: 7.1267 7.1267 7.1267 Å, 155.14 155.14 35.44°
With the nearest neighbours (Å) after each atom.
Sites, in units of the cell vectors:
V: 0.0000 0.0000 0.0000  1 Mo 2.14
Sb: 0.7924 0.7924 0.0000  1 V 2.82, 4 Mo 2.84, 4 Sb 3.07
Mo: 0.1574 0.1574 0.0000  1 V 2.14

SG   I4mm, No. 107

Model ii:
Material: VSbMo
Method: DFT, GGA-PBE
State: optimized geometry

Cell: 4.3316 4.3316 4.3316 Å, 60.00 60.00 60.00°
With the nearest neighbours (Å) after each atom.
Sites, in units of the cell vectors:
V: 0.0000 0.0000 0.0000  4 Sb 2.65, 4 Mo 2.65
Sb: 0.7500 0.7500 0.7500  4 V 2.65
Mo: 0.2500 0.2500 0.2500  4 V 2.65

SG   F-43m, No. 216

Model iii:
Material: VSbMo
Method: DFT, GGA-PBE
State: optimized geometry

Cell: 4.5556 4.5556 10.8489 Å, 109.33 109.33 36.62°
With the nearest neighbours (Å) after each atom.
Sites, in units of the cell vectors:
V: 0.1201 0.1201 0.4426  2 Mo 2.48, 3 V 2.59-2.77
V: 0.8799 0.8799 0.5574  2 Mo 2.48, 3 V 2.59-2.77
Sb: 0.0280 0.0280 0.1611  2 Sb 2.86, 3 Mo 2.86-2.88, 1 V 2.87
Sb: 0.9720 0.9720 0.8389  2 Sb 2.86, 3 Mo 2.86-2.88, 1 V 2.87
Mo: 0.1802 0.1802 0.6836  2 V 2.48
Mo: 0.8198 0.8198 0.3164  2 V 2.48

SG   C2/m, No. 12

Tell me which of them is the most stable. Sure, it is model ii.

Model i:
Material: SbMoW
Method: DFT, GGA-PBE
State: optimized geometry

Cell: 4.6030 4.6030 2.9232 Å, 90.00 90.00 120.00°
With the nearest neighbours (Å) after each atom.
Sites, in units of the cell vectors:
Sb: 0.0000 0.0000 0.0000  3 Mo 2.66, 2 Sb 2.92, 3 W 2.95
Mo: 0.3333 0.6667 0.9555  3 Sb 2.66, 3 W 2.90, 2 Mo 2.92
W: 0.6667 0.3333 0.5615  6 Mo 2.90-3.19, 2 W 2.92, 6 Sb 2.95-3.12

SG   P3m1, No. 156

Model ii:
Material: SbMoW
Method: DFT, GGA-PBE
State: optimized geometry

Cell: 4.4215 4.4215 4.4215 Å, 60.00 60.00 60.00°
With the nearest neighbours (Å) after each atom.
Sites, in units of the cell vectors:
Sb: 0.0000 0.0000 0.0000  4 Mo 2.71
Mo: 0.2500 0.2500 0.2500  4 W 2.71, 4 Sb 2.71
W: 0.5000 0.5000 0.5000  4 Mo 2.71

SG   F-43m, No. 216

Tell me which of them is the most stable. Sure, it is model ii.